# 1
BeFe2N | PBE | optimized geometry

Values from the calculation:
Polymorph energy (0 for the lowest one) = 0.0 meV per atom
ΔE_f (raw) = 0.08 eV per atom

```
data_BeFe2N
_chemical_formula_sum 'Be4 Fe8 N4'
_cell_length_a 7.028
_cell_length_b 7.028
_cell_length_c 3.238
_cell_angle_alpha 90.00
_cell_angle_beta 90.00
_cell_angle_gamma 90.00
_symmetry_space_group_name_H-M 'I -4 2 d'
_symmetry_Int_Tables_number 122
_symmetry_space_group_name_Hall 'I -4 2bw'
loop_
_atom_site_label
_atom_site_type_symbol
_atom_site_fract_x
_atom_site_fract_y
_atom_site_fract_z
Be1 Be 0.000 0.000 0.000
Fe1 Fe 0.113 0.250 0.625
N1 N 0.000 0.000 0.500
```

---

# 2
CuTe2As | PBE | optimized geometry

Values from the calculation:
ΔE_f (raw) = 0.26 eV per atom

```
data_CuTe2As
_chemical_formula_sum 'Cu2 Te4 As2'
_cell_length_a 4.015
_cell_length_b 5.060
_cell_length_c 9.368
_cell_angle_alpha 90.00
_cell_angle_beta 90.00
_cell_angle_gamma 90.00
_symmetry_space_group_name_H-M 'C m m 2'
_symmetry_Int_Tables_number 35
loop_
_symmetry_equiv_pos_as_xyz
'x,y,z'
'-x,-y,z'
'-x,y,z'
'x,-y,z'
'x+1/2,y+1/2,z'
'-x+1/2,-y+1/2,z'
'-x+1/2,y+1/2,z'
'x+1/2,-y+1/2,z'
loop_
_atom_site_label
_atom_site_type_symbol
_atom_site_fract_x
_atom_site_fract_y
_atom_site_fract_z
Cu1 Cu 0.000 0.000 0.000
Te1 Te 0.000 0.000 0.547
Te2 Te 0.000 0.500 0.194
As1 As 0.000 0.500 0.851
```

---

# 3
Mo2AsP | PBE | optimized geometry

Values from the calculation:
Polymorph energy (0 for the lowest one) = 629.3 meV per atom
ΔH_f (0 K) = 221.7 meV per atom

```
data_Mo2AsP
_chemical_formula_sum 'Mo4 As2 P2'
_cell_length_a 5.944
_cell_length_b 7.817
_cell_length_c 2.980
_cell_angle_alpha 90.00
_cell_angle_beta 116.15
_cell_angle_gamma 90.00
_symmetry_space_group_name_H-M 'C 1 2/m 1'
_symmetry_Int_Tables_number 12
loop_
_symmetry_equiv_pos_as_xyz
'x,y,z'
'-x,-y,-z'
'-x,y,-z'
'x,-y,z'
'x+1/2,y+1/2,z'
'-x+1/2,-y+1/2,-z'
'-x+1/2,y+1/2,-z'
'x+1/2,-y+1/2,z'
loop_
_atom_site_label
_atom_site_type_symbol
_atom_site_fract_x
_atom_site_fract_y
_atom_site_fract_z
Mo1 Mo 0.250 0.250 0.000
As1 As 0.000 0.000 0.500
P1 P 0.000 0.500 0.500
```

---

Number 1: DOS at the Fermi energy 0.78 states/eV/atom, total magnetization 4.77 μB per formula unit. Number 2: DOS at the Fermi energy 0.77 states/eV/atom, total magnetization 0.00 μB per formula unit. Number 3: DOS at the Fermi energy 1.06 states/eV/atom, total magnetization 0.00 μB per formula unit.